This record from the Alexandria database describes a relaxed Pu5Tc2Ge4 crystal. The functional is PBE-GGA.

```
11
Lattice="-2.800 -0.793 -0.193 0.490 -3.153 5.852 -2.181 13.298 -0.963" Properties=species:S:1:pos:R:3 pbc="T T T"
Ge -2.360 1.786 4.861
Ge -0.050 -0.442 2.539
Ge -4.441 9.795 2.158
Ge -2.132 7.566 -0.164
Tc -1.576 5.242 1.334
Tc -2.915 4.111 3.363
Pu -3.667 6.976 2.500
Pu -0.272 -0.389 5.545
Pu -0.824 2.376 2.197
Pu -1.400 -0.396 -0.096
Pu -4.219 9.742 -0.848
```

**ρ**: 12.926 g/cm³
**E_tot**: -110.66 eV per cell

This record from the Alexandria database describes a relaxed Pu6TcGe5 crystal. The functional is PBE-GGA.

```
12
Lattice="4.385 -0.267 0.685 -0.018 7.784 3.145 1.034 1.266 8.077" Properties=species:S:1:pos:R:3 pbc="T T T"
Pu 1.411 4.016 6.801
Pu 1.402 7.960 8.395
Pu 3.999 0.824 3.513
Pu 3.222 3.051 9.194
Pu 3.989 4.767 5.107
Pu 2.179 5.732 2.713
Ge 3.592 5.836 7.986
Ge 1.818 6.878 5.397
Ge 3.583 1.905 6.511
Ge -0.009 3.892 1.573
Ge 1.809 2.947 3.922
Tc 5.419 0.999 8.762
```

**ρ**: 12.695 g/cm³
**E_tot**: -123.95 eV per cell